# 1
Here is a relaxed FeTcAgSb crystal from OQMD. Energies are from PBE.

Geometry as CIF:
```
data_FeTcAgSb
_chemical_formula_sum 'Fe1 Tc1 Ag1 Sb1'
_cell_length_a 4.4975
_cell_length_b 4.4975
_cell_length_c 4.4975
_cell_angle_alpha 60.00
_cell_angle_beta 60.00
_cell_angle_gamma 60.00
_space_group_name_H-M_alt 'P 1'
_space_group_IT_number 1
_space_group_name_Hall 'P 1'
loop_
_atom_site_label
_atom_site_type_symbol
_atom_site_fract_x
_atom_site_fract_y
_atom_site_fract_z
Ag1 Ag 0.5000 0.5000 0.5000
Fe1 Fe 0.7500 0.7500 0.7500
Sb1 Sb 0.0000 0.0000 0.0000
Tc1 Tc 0.2500 0.2500 0.2500
```

Results
Its size of the total moment is 2.4 μB per formula unit. Its space-group type is F-43m, No. 216. The distance to the lowest polymorph of the same formula comes out at 0.000 eV per atom.



# 2
Here is a relaxed YHoSi2Os crystal from OQMD. Energies are from PBE.

Geometry as CIF:
```
data_YHoSi2Os
_chemical_formula_sum 'Y2 Ho2 Si4 Os2'
_cell_length_a 5.7230
_cell_length_b 5.7230
_cell_length_c 9.9905
_cell_angle_alpha 116.67
_cell_angle_beta 116.67
_cell_angle_gamma 43.34
_space_group_name_H-M_alt 'P 1'
_space_group_IT_number 1
_space_group_name_Hall 'P 1'
loop_
_atom_site_label
_atom_site_type_symbol
_atom_site_fract_x
_atom_site_fract_y
_atom_site_fract_z
Ho1 Ho 0.0077 0.0077 0.1776
Ho2 Ho 0.9923 0.9923 0.8224
Os1 Os 0.2699 0.2699 0.1267
Os2 Os 0.7301 0.7301 0.8733
Si1 Si 0.6438 0.6438 0.0604
Si2 Si 0.5029 0.5029 0.3746
Si3 Si 0.4971 0.4971 0.6254
Si4 Si 0.3562 0.3562 0.9396
Y1 Y 0.8144 0.8144 0.3899
Y2 Y 0.1856 0.1856 0.6101
```

Results
Its size of the total moment is 0.1 μB per formula unit. Its space-group type is C2/m, No. 12. The distance to the lowest polymorph of the same formula comes out at 0.000 eV per atom.



# 3
Here is a relaxed ErZrPO crystal from OQMD. Energies are from PBE.

Geometry as CIF:
```
data_ErZrPO
_chemical_formula_sum 'Er2 Zr2 P2 O2'
_cell_length_a 3.9910
_cell_length_b 3.9910
_cell_length_c 8.3642
_cell_angle_alpha 90.00
_cell_angle_beta 90.00
_cell_angle_gamma 90.00
_space_group_name_H-M_alt 'P 1'
_space_group_IT_number 1
_space_group_name_Hall 'P 1'
loop_
_atom_site_label
_atom_site_type_symbol
_atom_site_fract_x
_atom_site_fract_y
_atom_site_fract_z
Er1 Er 0.0000 0.0000 0.5000
Er2 Er 0.5000 0.5000 0.5000
O1 O 0.0000 0.0000 0.0000
O2 O 0.5000 0.5000 0.0000
P1 P 0.5000 0.0000 0.2743
P2 P 0.0000 0.5000 0.7257
Zr1 Zr 0.0000 0.5000 0.1277
Zr2 Zr 0.5000 0.0000 0.8723
```

Results
Its size of the total moment is 0.1 μB per formula unit. Its space-group type is P4/nmm, No. 129. The distance to the lowest polymorph of the same formula comes out at 0.513 eV per atom.



# 4
Here is a relaxed GdTmGe crystal from OQMD. Energies are from PBE.

Geometry as CIF:
```
data_GdTmGe
_chemical_formula_sum 'Gd2 Tm2 Ge2'
_cell_length_a 8.5516
_cell_length_b 8.5516
_cell_length_c 8.5516
_cell_angle_alpha 150.31
_cell_angle_beta 150.31
_cell_angle_gamma 42.48
_space_group_name_H-M_alt 'P 1'
_space_group_IT_number 1
_space_group_name_Hall 'P 1'
loop_
_atom_site_label
_atom_site_type_symbol
_atom_site_fract_x
_atom_site_fract_y
_atom_site_fract_z
Gd1 Gd 0.3209 0.3209 0.0000
Gd2 Gd 0.6791 0.6791 0.0000
Ge1 Ge 0.1329 0.1329 0.0000
Ge2 Ge 0.8671 0.8671 0.0000
Tm1 Tm 0.5000 0.0000 0.5000
Tm2 Tm 0.0000 0.5000 0.5000
```

Results
For the raw total energy, the calculation gives -5.233 eV per atom. Its size of the total moment is 0.4 μB per formula unit. Its space-group type is I4/mmm, No. 139.